P | Entry from Alexandria via LeMat-Bulk: a relaxed structure of Zr2ZnSe (GGA-PBEsol).

Lattice parameters (Å, degrees): 6.067 7.319 3.257 90.00 90.00 90.00
Atoms (fractional coordinates):
Zr  0.250  0.250  0.000
Zr  0.250  0.750  0.000
Zr  0.750  0.250  0.000
Zr  0.750  0.750  0.000
Zn  0.000  0.000  0.500
Zn  0.500  0.500  0.500
Se  0.000  0.500  0.500
Se  0.500  0.000  0.500



Q | Entry from Alexandria via LeMat-Bulk: a relaxed structure of Zr2ZnSe (GGA-PBEsol).

Lattice parameters (Å, degrees): 3.292 4.517 10.352 90.00 90.00 90.00
Atoms (fractional coordinates):
Zr  0.000  0.000  0.000
Zr  0.000  0.500  0.248
Zr  0.500  0.000  0.748
Zr  0.500  0.500  0.500
Zn  0.000  0.000  0.459
Zn  0.500  0.500  0.959
Se  0.000  0.500  0.710
Se  0.500  0.000  0.210



Of them, the most stable is P and the least stable is Q.



P | Entry from Alexandria via LeMat-Bulk: a relaxed structure of BeFeAs2 (GGA-PBEsol).

Lattice parameters (Å, degrees): 4.007 4.007 6.352 90.00 90.00 90.00
Atoms (fractional coordinates):
Be  0.000  0.000  0.000
Be  0.500  0.500  0.500
Fe  0.000  0.000  0.500
Fe  0.500  0.500  0.000
As  0.000  0.500  0.250
As  0.000  0.500  0.750
As  0.500  0.000  0.250
As  0.500  0.000  0.750



Q | Entry from Alexandria via LeMat-Bulk: a relaxed structure of BeFeAs2 (GGA-PBEsol).

Lattice parameters (Å, degrees): 2.903 3.491 11.496 90.00 90.00 90.00
Atoms (fractional coordinates):
Be  0.000  0.000  0.000
Be  0.500  0.500  0.500
Fe  0.000  0.500  0.119
Fe  0.500  0.000  0.619
As  0.000  0.000  0.448
As  0.000  0.500  0.701
As  0.500  0.000  0.201
As  0.500  0.500  0.948



Of them, the most stable is Q and the least stable is P.



P | Entry from Alexandria via LeMat-Bulk: a relaxed structure of La3Tl (GGA-PBEsol).

Lattice parameters (Å, degrees): 3.647 4.665 7.237 90.00 90.00 90.00
Atoms (fractional coordinates):
La  0.000  0.000  0.000
La  0.500  0.500  0.273
La  0.500  0.500  0.727
Tl  0.000  0.000  0.500



Q | Entry from Alexandria via LeMat-Bulk: a relaxed structure of La3Tl (GGA-PBEsol).

Lattice parameters (Å, degrees): 6.455 11.284 6.888 90.00 90.00 90.00
Atoms (fractional coordinates):
La  0.050  0.250  0.132
La  0.221  0.531  0.393
La  0.221  0.969  0.393
La  0.279  0.031  0.893
La  0.279  0.469  0.893
La  0.450  0.750  0.632
La  0.550  0.250  0.368
La  0.721  0.531  0.107
La  0.721  0.969  0.107
La  0.779  0.031  0.607
La  0.779  0.469  0.607
La  0.950  0.750  0.868
Tl  0.107  0.250  0.616
Tl  0.393  0.750  0.116
Tl  0.607  0.250  0.884
Tl  0.893  0.750  0.384



Of them, the most stable is P and the least stable is Q.



P | Entry from Alexandria via LeMat-Bulk: a relaxed structure of Er3TaO7 (GGA-PBEsol).

Lattice parameters (Å, degrees): 6.246 6.357 7.453 73.15 89.72 82.31
Atoms (fractional coordinates):
Er  0.046  0.008  0.250
Er  0.234  0.545  0.108
Er  0.236  0.539  0.615
Er  0.764  0.461  0.385
Er  0.766  0.455  0.892
Er  0.954  0.992  0.750
Ta  0.500  0.000  0.000
Ta  0.500  0.000  0.500
O  0.040  0.638  0.842
O  0.055  0.652  0.334
O  0.205  0.926  0.552
O  0.206  0.929  0.982
O  0.406  0.050  0.237
O  0.421  0.325  0.451
O  0.426  0.335  0.890
O  0.574  0.665  0.110
O  0.579  0.675  0.549
O  0.594  0.950  0.763
O  0.794  0.071  0.018
O  0.795  0.074  0.448
O  0.945  0.348  0.666
O  0.960  0.362  0.158



Q | Entry from Alexandria via LeMat-Bulk: a relaxed structure of Er3TaO7 (GGA-PBEsol).

Lattice parameters (Å, degrees): 7.286 10.376 7.401 90.00 90.00 90.00
Atoms (fractional coordinates):
Er  0.017  0.250  0.204
Er  0.249  0.022  0.536
Er  0.249  0.478  0.536
Er  0.251  0.522  0.036
Er  0.251  0.978  0.036
Er  0.483  0.750  0.704
Er  0.517  0.250  0.296
Er  0.749  0.022  0.964
Er  0.749  0.478  0.964
Er  0.751  0.522  0.464
Er  0.751  0.978  0.464
Er  0.983  0.750  0.796
Ta  0.003  0.250  0.751
Ta  0.497  0.750  0.251
Ta  0.503  0.250  0.749
Ta  0.997  0.750  0.249
O  0.040  0.124  0.957
O  0.040  0.376  0.957
O  0.045  0.608  0.409
O  0.045  0.892  0.409
O  0.240  0.616  0.769
O  0.240  0.884  0.769
O  0.249  0.250  0.654
O  0.251  0.750  0.154
O  0.260  0.116  0.269
O  0.260  0.384  0.269
O  0.455  0.108  0.909
O  0.455  0.392  0.909
O  0.460  0.624  0.457
O  0.460  0.876  0.457
O  0.540  0.124  0.543
O  0.540  0.376  0.543
O  0.545  0.608  0.091
O  0.545  0.892  0.091
O  0.740  0.616  0.731
O  0.740  0.884  0.731
O  0.749  0.250  0.846
O  0.751  0.750  0.346
O  0.760  0.116  0.231
O  0.760  0.384  0.231
O  0.955  0.108  0.591
O  0.955  0.392  0.591
O  0.960  0.624  0.043
O  0.960  0.876  0.043



Of them, the most stable is P and the least stable is Q.



P | Entry from Alexandria via LeMat-Bulk: a relaxed structure of SrMnTe2 (GGA-PBEsol).

Lattice parameters (Å, degrees): 12.998 4.263 4.627 90.00 90.48 90.00
Atoms (fractional coordinates):
Sr  0.000  0.000  0.000
Sr  0.500  0.500  0.000
Mn  0.243  0.500  0.339
Mn  0.743  0.000  0.339
Te  0.052  0.500  0.503
Te  0.286  0.000  0.996
Te  0.552  0.000  0.503
Te  0.786  0.500  0.996



Q | Entry from Alexandria via LeMat-Bulk: a relaxed structure of SrMnTe2 (GGA-PBEsol).

Lattice parameters (Å, degrees): 4.390 4.390 6.504 90.00 90.00 90.00
Atoms (fractional coordinates):
Sr  0.000  0.000  0.000
Mn  0.500  0.500  0.536
Te  0.000  0.000  0.493
Te  0.500  0.500  0.955



Of them, the most stable is P and the least stable is Q.



P | Entry from Alexandria via LeMat-Bulk: a relaxed structure of Mn2AlCo (GGA-PBEsol).

Lattice parameters (Å, degrees): 5.643 5.643 5.643 90.00 90.00 90.00
Atoms (fractional coordinates):
Mn  0.000  0.000  0.000
Mn  0.000  0.500  0.500
Mn  0.250  0.250  0.250
Mn  0.250  0.750  0.750
Mn  0.500  0.000  0.500
Mn  0.500  0.500  0.000
Mn  0.750  0.250  0.750
Mn  0.750  0.750  0.250
Al  0.250  0.250  0.750
Al  0.250  0.750  0.250
Al  0.750  0.250  0.250
Al  0.750  0.750  0.750
Co  0.000  0.000  0.500
Co  0.000  0.500  0.000
Co  0.500  0.000  0.000
Co  0.500  0.500  0.500



Q | Entry from Alexandria via LeMat-Bulk: a relaxed structure of Mn2AlCo (GGA-PBEsol).

Lattice parameters (Å, degrees): 2.824 2.824 5.635 90.00 90.00 90.00
Atoms (fractional coordinates):
Mn  0.000  0.000  0.000
Mn  0.500  0.500  0.222
Al  0.000  0.000  0.502
Co  0.500  0.500  0.750



Of them, the most stable is P and the least stable is Q.



P | Entry from Alexandria via LeMat-Bulk: a relaxed structure of KLiTl2 (GGA-PBEsol).

Lattice parameters (Å, degrees): 3.811 3.811 8.251 90.00 90.00 90.00
Atoms (fractional coordinates):
K  0.000  0.000  0.000
Li  0.500  0.500  0.348
Tl  0.000  0.000  0.480
Tl  0.500  0.500  0.710



Q | Entry from Alexandria via LeMat-Bulk: a relaxed structure of KLiTl2 (GGA-PBEsol).

Lattice parameters (Å, degrees): 7.659 7.659 7.659 90.00 90.00 90.00
Atoms (fractional coordinates):
K  0.000  0.000  0.000
K  0.000  0.500  0.500
K  0.500  0.000  0.500
K  0.500  0.500  0.000
Li  0.000  0.000  0.500
Li  0.000  0.500  0.000
Li  0.500  0.000  0.000
Li  0.500  0.500  0.500
Tl  0.250  0.250  0.250
Tl  0.250  0.250  0.750
Tl  0.250  0.750  0.250
Tl  0.250  0.750  0.750
Tl  0.750  0.250  0.250
Tl  0.750  0.250  0.750
Tl  0.750  0.750  0.250
Tl  0.750  0.750  0.750



Of them, the most stable is P and the least stable is Q.



P | Entry from Alexandria via LeMat-Bulk: a relaxed structure of KCu2Mo (GGA-PBEsol).

Lattice parameters (Å, degrees): 2.671 2.671 9.221 90.00 90.00 90.00
Atoms (fractional coordinates):
K  0.000  0.000  0.000
Cu  0.000  0.000  0.536
Cu  0.500  0.500  0.708
Mo  0.500  0.500  0.330



Q | Entry from Alexandria via LeMat-Bulk: a relaxed structure of KCu2Mo (GGA-PBEsol).

Lattice parameters (Å, degrees): 2.746 2.746 29.647 90.00 90.00 120.00
Atoms (fractional coordinates):
K  0.000  0.000  0.000
K  0.333  0.667  0.667
K  0.667  0.333  0.333
Cu  0.000  0.000  0.241
Cu  0.000  0.000  0.510
Cu  0.333  0.667  0.176
Cu  0.333  0.667  0.908
Cu  0.667  0.333  0.574
Cu  0.667  0.333  0.843
Mo  0.000  0.000  0.771
Mo  0.333  0.667  0.437
Mo  0.667  0.333  0.104



Of them, the most stable is P and the least stable is Q.